Material: MnCu2Os
Method: DFT, GGA-PBE
State: optimized geometry

```
MnCu2Os
1.0
8.886 0.000 0.000
0.000 2.626 0.000
-0.780 0.000 4.433
Mn Cu Os
2 4 2
Cartesian
0.000 0.000 0.000
4.443 1.313 0.000
1.628 0.000 3.326
2.035 1.313 1.107
6.071 1.313 3.326
6.478 0.000 1.107
-0.390 1.313 2.216
4.053 0.000 2.216
```

**Excess energy over the best structure of this formula in the dataset**: 61 meV per atom
**Crystal system**: monoclinic



Material: MnCu2Os
Method: DFT, GGA-PBE
State: optimized geometry

```
MnCu2Os
1.0
3.748 0.000 0.000
0.000 3.748 0.000
0.000 0.000 7.206
Mn Cu Os
2 4 2
Cartesian
0.000 0.000 0.000
1.874 1.874 3.603
0.000 0.000 3.603
0.000 1.874 5.405
1.874 0.000 1.802
1.874 1.874 0.000
0.000 1.874 1.802
1.874 0.000 5.405
```

**Excess energy over the best structure of this formula in the dataset**: 80 meV per atom
**Crystal system**: tetragonal



Material: MnCuOs2
Method: DFT, GGA-PBE
State: optimized geometry

```
MnCuOs2
1.0
5.947 0.000 0.000
0.000 5.947 0.000
0.000 0.000 5.947
Mn Cu Os
4 4 8
Cartesian
0.000 0.000 0.000
0.000 2.973 2.973
2.973 0.000 2.973
2.973 2.973 0.000
0.000 0.000 2.973
0.000 2.973 0.000
2.973 0.000 0.000
2.973 2.973 2.973
1.487 1.487 1.487
1.487 1.487 4.460
1.487 4.460 1.487
1.487 4.460 4.460
4.460 1.487 1.487
4.460 1.487 4.460
4.460 4.460 1.487
4.460 4.460 4.460
```

**Excess energy over the best structure of this formula in the dataset**: 171 meV per atom
**Crystal system**: cubic



Material: MnCu2Os
Method: DFT, GGA-PBE
State: optimized geometry

```
MnCu2Os
1.0
2.636 0.000 0.000
-1.318 2.283 0.000
0.000 0.000 25.163
Mn Cu Os
3 6 3
Cartesian
0.000 0.000 0.000
0.000 1.522 16.775
1.318 0.761 8.388
0.000 0.000 6.287
0.000 0.000 12.637
0.000 1.522 4.250
0.000 1.522 23.062
1.318 0.761 14.675
1.318 0.761 21.025
0.000 0.000 18.757
0.000 1.522 10.370
1.318 0.761 1.982
```

**Excess energy over the best structure of this formula in the dataset**: 0 meV per atom
**Crystal system**: trigonal



Material: MnCu2Os
Method: DFT, GGA-PBE
State: optimized geometry

```
MnCu2Os
1.0
2.676 0.000 0.000
0.000 3.594 0.000
0.000 0.000 5.302
Mn Cu Os
1 2 1
Cartesian
0.000 0.000 0.000
0.000 0.000 2.653
1.338 1.797 3.837
1.338 1.797 1.156
```

**Excess energy over the best structure of this formula in the dataset**: 18 meV per atom
**Crystal system**: orthorhombic



Material: MnCu2Os
Method: DFT, GGA-PBE
State: optimized geometry

```
MnCu2Os
1.0
8.538 0.000 0.000
0.000 2.642 0.000
-0.742 0.000 4.525
Mn Cu Os
2 4 2
Cartesian
0.000 0.000 0.000
4.269 1.321 0.000
8.165 1.321 2.268
1.925 1.321 1.315
3.896 0.000 2.268
6.194 0.000 1.315
1.559 0.000 3.597
5.828 1.321 3.597
```

**Excess energy over the best structure of this formula in the dataset**: 68 meV per atom
**Crystal system**: monoclinic



Material: MnCu2Os
Method: DFT, GGA-PBE
State: optimized geometry

```
MnCu2Os
1.0
3.643 0.000 0.000
0.000 3.643 0.000
0.000 0.000 7.734
Mn Cu Os
2 4 2
Cartesian
0.000 0.000 0.000
1.821 1.821 3.867
0.000 1.821 1.933
0.000 1.821 5.800
1.821 0.000 1.933
1.821 0.000 5.800
0.000 0.000 3.867
1.821 1.821 0.000
```

**Excess energy over the best structure of this formula in the dataset**: 147 meV per atom
**Crystal system**: tetragonal



Material: MnCu4Os
Method: DFT, GGA-PBE
State: optimized geometry

```
MnCu4Os
1.0
0.000 3.363 3.363
3.363 0.000 3.363
3.363 3.363 0.000
Mn Cu Os
1 4 1
Cartesian
0.000 0.000 0.000
4.203 2.523 2.523
2.523 4.203 2.523
2.523 2.523 4.203
4.203 4.203 4.203
1.681 1.681 1.681
```

**Crystal system**: cubic



Material: MnCuOs2
Method: DFT, GGA-PBE
State: optimized geometry

```
MnCuOs2
1.0
6.048 0.000 0.000
0.000 6.048 0.000
0.000 0.000 6.048
Mn Cu Os
4 4 8
Cartesian
0.000 0.000 0.000
0.000 3.024 3.024
3.024 0.000 3.024
3.024 3.024 0.000
1.512 1.512 1.512
1.512 4.536 4.536
4.536 1.512 4.536
4.536 4.536 1.512
0.000 0.000 3.024
0.000 3.024 0.000
1.512 1.512 4.536
1.512 4.536 1.512
3.024 0.000 0.000
3.024 3.024 3.024
4.536 1.512 1.512
4.536 4.536 4.536
```

**Excess energy over the best structure of this formula in the dataset**: 223 meV per atom
**Crystal system**: cubic



Material: MnCuOs2
Method: DFT, GGA-PBE
State: optimized geometry

```
MnCuOs2
1.0
2.751 0.000 0.000
0.000 4.364 0.000
0.000 0.000 9.347
Mn Cu Os
2 2 4
Cartesian
0.000 0.000 0.000
1.375 2.182 4.674
0.000 0.000 4.674
1.375 2.182 0.000
0.000 2.182 2.612
0.000 2.182 6.735
1.375 0.000 2.061
1.375 0.000 7.286
```

**Excess energy over the best structure of this formula in the dataset**: 158 meV per atom
**Crystal system**: orthorhombic



Material: MnCuOs2
Method: DFT, GGA-PBE
State: optimized geometry

```
MnCuOs2
1.0
3.751 0.000 0.000
0.000 3.751 0.000
0.000 0.000 7.582
Mn Cu Os
2 2 4
Cartesian
0.000 0.000 0.000
1.875 1.875 3.791
0.000 1.875 1.896
1.875 0.000 5.687
0.000 0.000 3.791
0.000 1.875 5.687
1.875 0.000 1.896
1.875 1.875 0.000
```

**Excess energy over the best structure of this formula in the dataset**: 71 meV per atom
**Crystal system**: tetragonal



Material: MnCuOs2
Method: DFT, GGA-PBE
State: optimized geometry

```
MnCuOs2
1.0
2.702 0.000 0.000
-1.351 2.340 0.000
0.000 0.000 25.902
Mn Cu Os
3 3 6
Cartesian
0.000 0.000 0.000
0.000 1.560 17.268
1.351 0.780 8.634
0.000 0.000 6.561
0.000 1.560 23.829
1.351 0.780 15.195
0.000 0.000 12.974
0.000 0.000 19.439
0.000 1.560 4.340
0.000 1.560 10.805
1.351 0.780 2.171
1.351 0.780 21.608
```

**Excess energy over the best structure of this formula in the dataset**: 94 meV per atom
**Crystal system**: trigonal



Material: MnCu2Os
Method: DFT, GGA-PBE
State: optimized geometry

```
MnCu2Os
1.0
3.423 0.000 0.000
0.000 3.423 0.000
0.000 0.000 18.276
Mn Cu Os
4 8 4
Cartesian
0.000 0.000 0.000
0.000 1.711 4.569
1.711 0.000 13.707
1.711 1.711 9.138
0.850 0.856 2.284
0.856 2.561 6.853
0.856 2.573 15.991
0.862 0.856 11.422
2.561 2.567 11.422
2.567 0.850 15.991
2.567 0.862 6.853
2.573 2.567 2.284
0.000 0.000 9.138
0.000 1.711 13.707
1.711 0.000 4.569
1.711 1.711 0.000
```

**Excess energy over the best structure of this formula in the dataset**: 554 meV per atom
**Crystal system**: tetragonal



Material: MnCu2Os
Method: DFT, GGA-PBE
State: optimized geometry

```
MnCu2Os
1.0
3.645 0.000 0.000
0.000 3.645 0.000
0.000 0.000 3.887
Mn Cu Os
1 2 1
Cartesian
0.000 0.000 0.000
0.000 1.823 1.943
1.823 0.000 1.943
1.823 1.823 0.000
```

**Excess energy over the best structure of this formula in the dataset**: 125 meV per atom
**Crystal system**: tetragonal



Material: MnCuOs2
Method: DFT, GGA-PBE
State: optimized geometry

```
MnCuOs2
1.0
8.888 0.000 0.000
0.000 2.723 0.000
-0.813 0.000 4.466
Mn Cu Os
2 2 4
Cartesian
0.000 0.000 0.000
4.444 1.361 0.000
1.580 0.000 3.495
6.024 1.361 3.495
1.992 1.361 1.275
4.009 0.000 2.239
6.436 0.000 1.275
8.453 1.361 2.239
```

**Excess energy over the best structure of this formula in the dataset**: 63 meV per atom
**Crystal system**: monoclinic



Material: MnCuOs
Method: DFT, GGA-PBE
State: optimized geometry

```
MnCuOs
1.0
2.947 0.000 0.000
0.000 4.369 0.000
0.000 0.000 12.633
Mn Cu Os
4 4 4
Cartesian
0.000 0.000 0.000
0.000 2.184 6.317
1.474 0.000 6.317
1.474 2.184 0.000
0.000 0.000 4.252
0.000 2.184 10.568
1.474 0.000 10.568
1.474 2.184 4.252
0.000 0.000 8.353
0.000 2.184 2.037
1.474 0.000 2.037
1.474 2.184 8.353
```

**Excess energy over the best structure of this formula in the dataset**: 147 meV per atom
**Crystal system**: orthorhombic



Material: MnCu2Os
Method: DFT, GGA-PBE
State: optimized geometry

```
MnCu2Os
1.0
2.856 0.000 0.000
0.000 4.379 0.000
0.000 0.000 8.454
Mn Cu Os
2 4 2
Cartesian
0.000 0.000 0.000
1.428 2.190 0.000
0.000 0.000 4.312
0.000 2.190 6.367
1.428 0.000 6.367
1.428 2.190 4.312
0.000 2.190 2.074
1.428 0.000 2.074
```

**Excess energy over the best structure of this formula in the dataset**: 111 meV per atom
**Crystal system**: orthorhombic



Material: MnCuOs2
Method: DFT, GGA-PBE
State: optimized geometry

```
MnCuOs2
1.0
2.806 0.000 0.000
0.000 4.474 0.000
0.000 0.000 8.753
Mn Cu Os
2 2 4
Cartesian
0.000 0.000 0.000
1.403 2.237 0.000
0.000 0.000 4.376
1.403 2.237 4.376
0.000 2.237 2.123
0.000 2.237 6.630
1.403 0.000 2.123
1.403 0.000 6.630
```

**Excess energy over the best structure of this formula in the dataset**: 196 meV per atom
**Crystal system**: orthorhombic



Material: MnCuOs2
Method: DFT, GGA-PBE
State: optimized geometry

```
MnCuOs2
1.0
2.748 0.000 0.000
0.000 2.748 0.000
0.000 0.000 7.246
Mn Cu Os
1 1 2
Cartesian
0.000 0.000 0.000
1.374 1.374 5.525
0.000 0.000 3.673
1.374 1.374 1.886
```

**Excess energy over the best structure of this formula in the dataset**: 63 meV per atom
**Crystal system**: tetragonal



Material: MnCuOs
Method: DFT, GGA-PBE
State: optimized geometry

```
MnCuOs
1.0
2.662 0.000 0.000
0.000 3.652 0.000
0.000 0.000 7.784
Mn Cu Os
2 2 2
Cartesian
0.000 0.000 0.000
1.331 1.826 3.892
0.000 0.000 2.564
1.331 1.826 6.456
0.000 0.000 5.120
1.331 1.826 1.228
```

**Excess energy over the best structure of this formula in the dataset**: 0 meV per atom
**Crystal system**: orthorhombic



Material: MnCuOs2
Method: DFT, GGA-PBE
State: optimized geometry

```
MnCuOs2
1.0
2.666 0.000 0.000
-1.333 2.309 0.000
0.000 0.000 25.781
Mn Cu Os
3 3 6
Cartesian
0.000 0.000 0.000
0.000 1.539 17.187
1.333 0.770 8.594
0.000 0.000 12.890
0.000 1.539 4.297
1.333 0.770 21.484
0.000 0.000 6.535
0.000 0.000 19.245
0.000 1.539 10.652
0.000 1.539 23.723
1.333 0.770 2.058
1.333 0.770 15.129
```

**Excess energy over the best structure of this formula in the dataset**: 0 meV per atom
**Crystal system**: trigonal



Material: MnCuOs
Method: DFT, GGA-PBE
State: optimized geometry

```
MnCuOs
1.0
2.642 0.000 0.000
-1.321 2.288 0.000
0.000 0.000 6.369
Mn Cu Os
1 1 1
Cartesian
0.000 0.000 0.000
0.000 1.525 4.252
1.321 0.763 1.963
```

**Excess energy over the best structure of this formula in the dataset**: 13 meV per atom
**Crystal system**: trigonal



Material: MnCu2Os
Method: DFT, GGA-PBE
State: optimized geometry

```
MnCu2Os
1.0
2.552 0.000 0.000
0.000 4.374 0.000
-0.530 0.000 4.681
Mn Cu Os
1 2 1
Cartesian
0.000 0.000 0.000
0.116 2.187 3.522
1.906 2.187 1.159
1.011 0.000 2.341
```

**Excess energy over the best structure of this formula in the dataset**: 128 meV per atom
**Crystal system**: monoclinic



Material: MnCu2Os
Method: DFT, GGA-PBE
State: optimized geometry

```
MnCu2Os
1.0
5.884 0.000 0.000
0.000 5.884 0.000
0.000 0.000 5.884
Mn Cu Os
4 8 4
Cartesian
0.000 0.000 0.000
0.000 2.942 2.942
2.942 0.000 2.942
2.942 2.942 0.000
0.000 0.000 2.942
0.000 2.942 0.000
1.471 1.471 4.413
1.471 4.413 1.471
2.942 0.000 0.000
2.942 2.942 2.942
4.413 1.471 1.471
4.413 4.413 4.413
1.471 1.471 1.471
1.471 4.413 4.413
4.413 1.471 4.413
4.413 4.413 1.471
```

**Excess energy over the best structure of this formula in the dataset**: 148 meV per atom
**Crystal system**: cubic



Material: MnCuOs2
Method: DFT, GGA-PBE
State: optimized geometry

```
MnCuOs2
1.0
3.766 0.000 0.000
0.000 3.766 0.000
0.000 0.000 7.465
Mn Cu Os
2 2 4
Cartesian
0.000 0.000 0.000
1.883 1.883 3.732
0.000 0.000 3.732
1.883 1.883 0.000
0.000 1.883 1.866
0.000 1.883 5.599
1.883 0.000 1.866
1.883 0.000 5.599
```

**Excess energy over the best structure of this formula in the dataset**: 118 meV per atom
**Crystal system**: tetragonal



Material: Mn2CuOsPb
Method: DFT, GGA-PBE
State: optimized geometry

```
Mn2CuOsPb
1.0
4.965 0.000 0.000
0.000 4.965 0.000
0.000 0.000 4.669
Mn Cu Os Pb
2 1 1 1
Cartesian
0.000 2.482 0.000
2.482 0.000 0.000
0.000 0.000 2.335
2.482 2.482 2.335
0.000 0.000 0.000
```

**Crystal system**: tetragonal



Material: MnCuSiOs
Method: DFT, GGA-PBE
State: optimized geometry

```
MnCuSiOs
1.0
5.869 0.000 0.000
0.000 5.869 0.000
0.000 0.000 5.869
Mn Cu Si Os
4 4 4 4
Cartesian
0.000 0.000 0.000
0.000 2.935 2.935
2.935 0.000 2.935
2.935 2.935 0.000
1.467 1.467 1.467
1.467 4.402 4.402
4.402 1.467 4.402
4.402 4.402 1.467
1.467 1.467 4.402
1.467 4.402 1.467
4.402 1.467 1.467
4.402 4.402 4.402
0.000 0.000 2.935
0.000 2.935 0.000
2.935 0.000 0.000
2.935 2.935 2.935
```

**Formation energy from raw total energies**: -0.0600 eV per atom
**Crystal system**: cubic



Material: Ta2MnCuOs
Method: DFT, GGA-PBE
State: optimized geometry

```
Ta2MnCuOs
1.0
4.446 0.000 0.000
0.000 4.446 0.000
0.000 0.000 4.315
Ta Mn Cu Os
2 1 1 1
Cartesian
0.000 2.223 0.000
2.223 0.000 0.000
0.000 0.000 0.000
0.000 0.000 2.158
2.223 2.223 2.158
```

**Crystal system**: tetragonal



Material: Mn4CuP
Method: DFT, GGA-PBE
State: optimized geometry

```
Mn4CuP
1.0
0.000 3.310 3.310
3.310 0.000 3.310
3.310 3.310 0.000
Mn Cu P
4 1 1
Cartesian
0.827 0.827 0.827
2.484 2.484 0.827
2.484 0.827 2.484
0.827 2.484 2.484
3.310 3.310 3.310
4.965 4.965 4.965
```

**Crystal system**: cubic



Material: MnCu3P
Method: DFT, GGA-PBE
State: optimized geometry

```
MnCu3P
1.0
4.385 0.000 0.000
0.000 4.385 0.000
0.000 0.000 4.385
Mn Cu P
1 3 1
Cartesian
0.000 0.000 0.000
0.000 0.000 2.193
0.000 2.193 0.000
2.193 0.000 0.000
2.193 2.193 2.193
```

**Excess energy over the best structure of this formula in the dataset**: 1084 meV per atom
**Crystal system**: cubic



| no. | V (Å³/cell) | electronic total energy (eV per atom) |
| --- | --- | --- |
| 1 | 103.4 | -6.917 |
| 2 | 101.2 | -6.898 |
| 3 | 210.3 | -8.601 |
| 4 | 151.5 | -6.978 |
| 5 | 51.0 | -6.961 |
| 6 | 102.1 | -6.911 |
| 7 | 102.6 | -6.831 |
| 8 | 76.1 | -5.821 |
| 9 | 221.3 | -8.550 |
| 10 | 112.2 | -8.615 |
| 11 | 106.7 | -8.702 |
| 12 | 163.8 | -8.679 |
| 13 | 214.1 | -6.424 |
| 14 | 51.6 | -6.854 |
| 15 | 108.1 | -8.710 |
| 16 | 162.7 | -7.818 |
| 17 | 105.7 | -6.868 |
| 18 | 109.9 | -8.577 |
| 19 | 54.7 | -8.710 |
| 20 | 75.7 | -7.965 |
| 21 | 158.6 | -8.773 |
| 22 | 38.5 | -7.952 |
| 23 | 52.3 | -6.851 |
| 24 | 203.7 | -6.830 |
| 25 | 105.9 | -8.655 |
| 26 | 115.1 | -5.397 |
| 27 | 202.2 | -7.540 |
| 28 | 85.3 | -8.450 |
| 29 | 72.6 | -7.244 |
| 30 | 84.3 | -3.866 |